## LaZr2Fe (PBE)

Data for an optimized crystal structure of LaZr2Fe.

Magnetic moment (μB/f.u.): 3.1
E above lowest polymorph (meV per atom): 332
Space group: I-4m2, No. 119
E_form (meV/atom): 376

Cell: 5.4241 5.4241 5.4241 Å, 130.35 130.35 72.85°
Sites, in units of the cell vectors:
Fe: 0.5000 0.5000 0.0000
Zr: 0.0000 0.0000 0.0000
Zr: 0.2500 0.7500 0.5000
La: 0.7500 0.2500 0.5000